Density functional theory data (GGA-PBEsol) for a geometry-optimized BaLiIr structure.

The energy relative to the elements comes out at 0.6 eV/f.u. The magnetic moment comes out at 0.000 μB/f.u.

The structure belongs to space group I4mm (No. 107); the cell edges are 3.5113, 3.5113 and 10.4214 Å and the angles 90.00°, 90.00° and 90.00°. The inequivalent atoms are Ba at (0.0000, 0.0000, 0.0000), Li at (0.0000, 0.0000, 0.2718) and Ir at (0.0000, 0.0000, 0.6953).